(1)
AgSn2Au2 | meta-GGA SCAN | PBEsol geometry

POSCAR file:
```
AgSn2Au2
1.0
7.3688 0.0000 0.0000
0.0000 7.3688 0.0000
0.0000 0.0000 3.8395
Ag Sn Au
2 4 4
direct
0.0000 0.0000 0.0000
0.5000 0.5000 0.0000
0.1673 0.3327 0.5000
0.3327 0.8327 0.5000
0.6673 0.1673 0.5000
0.8327 0.6673 0.5000
0.1378 0.6378 0.0000
0.3622 0.1378 0.0000
0.6378 0.8622 0.0000
0.8622 0.3622 0.0000
```

Values from the calculation:
spin magnetization = 0.00 Bohr magnetons per cell
energy of formation from the pure elements = 0.00 eV/atom
space-group type = P4/mbm

(2)
CsZrN2 | meta-GGA SCAN | PBEsol geometry

POSCAR file:
```
CsZrN2
1.0
0.0000 3.0813 3.0813
3.0813 0.0000 3.0813
3.0813 3.0813 0.0000
Cs Zr N
1 1 2
direct
0.0000 0.0000 0.0000
0.5000 0.5000 0.5000
0.2500 0.2500 0.2500
0.7500 0.7500 0.7500
```

Values from the calculation:
spin magnetization = 0.00 Bohr magnetons per cell
formation energy (no corrections) = 1.098 eV per atom
space-group type = Fm-3m

(3)
Re3NiSn | meta-GGA SCAN | PBEsol geometry

POSCAR file:
```
Re3NiSn
1.0
4.7326 0.0000 0.0000
0.0000 4.7326 0.0000
0.0000 0.0000 4.7326
Re Ni Sn
3 1 1
direct
0.0000 0.0000 0.5000
0.0000 0.5000 0.0000
0.5000 0.0000 0.0000
0.5000 0.5000 0.5000
0.0000 0.0000 0.0000
```

Values from the calculation:
spin magnetization = 2.19 Bohr magnetons per cell
energy of formation from the pure elements = 3.38 eV/atom
space-group type = Pm-3m

(4)
P2OsPb | meta-GGA SCAN | PBEsol geometry

POSCAR file:
```
P2OsPb
1.0
-1.4832 2.8222 4.6573
1.4832 -2.8222 4.6573
1.4832 2.8222 -4.6573
P Os Pb
2 1 1
direct
0.1937 0.1937 0.0000
0.8063 0.8063 0.0000
0.0000 0.5000 0.5000
0.5000 0.0000 0.5000
```

Values from the calculation:
spin magnetization = 0.00 Bohr magnetons per cell
energy of formation from the pure elements = 0.48 eV/atom
space-group type = Immm

(5)
BeRe2Ir | meta-GGA SCAN | PBEsol geometry

POSCAR file:
```
BeRe2Ir
1.0
4.4952 -1.3711 0.0000
4.4952 1.3711 0.0000
-0.7992 0.0000 4.3587
Be Re Ir
1 2 1
direct
0.0000 0.0000 0.0000
0.2468 0.2468 0.7531
0.7532 0.7532 0.2469
0.5000 0.5000 0.5000
```

Values from the calculation:
spin magnetization = 0.00 Bohr magnetons per cell
energy of formation from the pure elements = -0.05 eV/atom
space-group type = C2/m

(6)
MgSc2Ta | meta-GGA SCAN | PBEsol geometry

POSCAR file:
```
MgSc2Ta
1.0
3.0101 0.0000 0.0000
0.0000 3.0101 0.0000
0.0000 0.0000 9.3810
Mg Sc Ta
1 2 1
direct
0.0000 0.0000 0.0000
0.5000 0.5000 0.2724
0.5000 0.5000 0.7276
0.0000 0.0000 0.5000
```

Values from the calculation:
spin magnetization = 0.12 Bohr magnetons per cell
energy of formation from the pure elements = 0.06 eV/atom
space-group type = P4/mmm

(7)
Rb2ScCuCl6 | meta-GGA SCAN | PBEsol geometry

POSCAR file:
```
Rb2ScCuCl6
1.0
0.0000 4.9526 4.9526
4.9526 0.0000 4.9526
4.9526 4.9526 0.0000
Rb Sc Cu Cl
2 1 1 6
direct
0.2500 0.2500 0.2500
0.7500 0.7500 0.7500
0.0000 0.0000 0.0000
0.5000 0.5000 0.5000
0.2500 0.2500 0.7500
0.2500 0.7500 0.2500
0.2500 0.7500 0.7500
0.7500 0.2500 0.2500
0.7500 0.2500 0.7500
0.7500 0.7500 0.2500
```

Values from the calculation:
spin magnetization = 0.07 Bohr magnetons per cell
formation energy (no corrections) = -1.953 eV per atom
space-group type = Fm-3m

(8)
MgFeNi2 | meta-GGA SCAN | PBEsol geometry

POSCAR file:
```
MgFeNi2
1.0
2.6873 0.0000 0.0000
0.0000 2.6873 0.0000
0.0000 0.0000 6.7230
Mg Fe Ni
1 1 2
direct
0.0000 0.0000 0.0000
0.0000 0.0000 0.5000
0.5000 0.5000 0.2755
0.5000 0.5000 0.7245
```

Values from the calculation:
spin magnetization = 4.13 Bohr magnetons per cell
energy of formation from the pure elements = -0.11 eV/atom
space-group type = P4/mmm

(9)
LaMn2 | meta-GGA SCAN | PBEsol geometry

POSCAR file:
```
LaMn2
1.0
-1.7307 1.7307 4.9009
1.7307 -1.7307 4.9009
1.7307 1.7307 -4.9009
La Mn
1 2
direct
0.0000 0.0000 0.0000
0.3037 0.3037 0.0000
0.6963 0.6963 0.0000
```

Values from the calculation:
spin magnetization = 7.46 Bohr magnetons per cell
energy of formation from the pure elements = 0.15 eV/atom
space-group type = I4/mmm

(10)
LaTaTiO6 | meta-GGA SCAN | PBEsol geometry

POSCAR file:
```
LaTaTiO6
1.0
5.5590 -4.3999 0.0000
5.5590 4.3999 0.0000
-2.2265 0.0000 4.7690
La Ta Ti O
2 2 2 12
direct
0.0000 0.0000 0.0000
0.6215 0.3785 0.5000
0.4618 0.0038 0.6935
0.9962 0.5382 0.3065
0.1579 0.3715 0.8039
0.6285 0.8421 0.1961
0.0893 0.6300 0.7172
0.2047 0.0754 0.7741
0.2539 0.4642 0.2106
0.3700 0.9107 0.2828
0.4076 0.3028 0.7198
0.5358 0.7461 0.7894
0.6313 0.0898 0.0958
0.6972 0.5924 0.2802
0.7112 0.0116 0.5949
0.9102 0.3687 0.9042
0.9246 0.7953 0.2259
0.9884 0.2888 0.4051
```

Values from the calculation:
spin magnetization = 0.00 Bohr magnetons per cell
formation energy (no corrections) = -3.459 eV per atom
space-group type = C2

(11)
NdAl2 | meta-GGA SCAN | PBEsol geometry

POSCAR file:
```
NdAl2
1.0
0.0000 3.9819 3.9819
3.9819 0.0000 3.9819
3.9819 3.9819 0.0000
Nd Al
2 4
direct
0.1250 0.1250 0.1250
0.8750 0.8750 0.8750
0.0000 0.5000 0.5000
0.5000 0.0000 0.5000
0.5000 0.5000 0.0000
0.5000 0.5000 0.5000
```

Values from the calculation:
spin magnetization = 0.00 Bohr magnetons per cell
energy of formation from the pure elements = -0.54 eV/atom
space-group type = Fd-3m

(12)
ReP2Pb | meta-GGA SCAN | PBEsol geometry

POSCAR file:
```
ReP2Pb
1.0
3.2976 0.0000 0.0000
0.0000 4.1928 0.0000
0.0000 0.0000 4.9350
Re P Pb
1 2 1
direct
0.0000 0.0000 0.0000
0.0000 0.5000 0.5000
0.5000 0.5000 0.0000
0.5000 0.0000 0.5000
```

Values from the calculation:
spin magnetization = 0.00 Bohr magnetons per cell
energy of formation from the pure elements = 1.24 eV/atom
space-group type = Pmmm

(13)
Cr5Se | meta-GGA SCAN | PBEsol geometry

POSCAR file:
```
Cr5Se
1.0
4.4618 -1.4645 0.0000
4.4618 1.4645 0.0000
-1.7988 0.0000 5.3209
Cr Se
5 1
direct
0.0000 0.0000 0.0000
0.3299 0.3299 0.1596
0.3322 0.3322 0.6682
0.6678 0.6678 0.3318
0.6701 0.6701 0.8404
0.0000 0.0000 0.5000
```

Values from the calculation:
spin magnetization = 0.00 Bohr magnetons per cell
formation energy (no corrections) = 0.199 eV per atom
space-group type = C2/m

(14)
Sr2LuNbO6 | meta-GGA SCAN | PBEsol geometry

POSCAR file:
```
Sr2LuNbO6
1.0
0.0000 4.1205 4.1205
4.1205 0.0000 4.1205
4.1205 4.1205 0.0000
Sr Lu Nb O
2 1 1 6
direct
0.2500 0.2500 0.2500
0.7500 0.7500 0.7500
0.0000 0.0000 0.0000
0.5000 0.5000 0.5000
0.2585 0.2585 0.7415
0.2585 0.7415 0.2585
0.2585 0.7415 0.7415
0.7415 0.2585 0.2585
0.7415 0.2585 0.7415
0.7415 0.7415 0.2585
```

Values from the calculation:
spin magnetization = 0.00 Bohr magnetons per cell
formation energy (no corrections) = -3.363 eV per atom
space-group type = Fm-3m

(15)
TiOF2 | meta-GGA SCAN | PBEsol geometry

POSCAR file:
```
TiOF2
1.0
3.9018 0.0000 0.0000
0.0000 3.9018 0.0000
0.0000 0.0000 3.6695
Ti O F
1 1 2
direct
0.0000 0.0000 0.0000
0.0000 0.0000 0.5000
0.0000 0.5000 0.0000
0.5000 0.0000 0.0000
```

Values from the calculation:
spin magnetization = 0.00 Bohr magnetons per cell
formation energy (no corrections) = -3.400 eV per atom
space-group type = P4/mmm

(16)
BeAlOs2 | meta-GGA SCAN | PBEsol geometry

POSCAR file:
```
BeAlOs2
1.0
4.1015 0.0000 0.0000
0.0000 4.1015 0.0000
0.0000 0.0000 2.9117
Be Al Os
1 1 2
direct
0.0000 0.0000 0.0000
0.5000 0.5000 0.0000
0.0000 0.5000 0.5000
0.5000 0.0000 0.5000
```

Values from the calculation:
spin magnetization = 0.00 Bohr magnetons per cell
energy of formation from the pure elements = -0.29 eV/atom
space-group type = P4/mmm

(17)
ScCr2Hg | meta-GGA SCAN | PBEsol geometry

POSCAR file:
```
ScCr2Hg
1.0
0.0000 3.2283 3.2283
3.2283 0.0000 3.2283
3.2283 3.2283 0.0000
Sc Cr Hg
1 2 1
direct
0.0000 0.0000 0.0000
0.2500 0.2500 0.2500
0.5000 0.5000 0.5000
0.7500 0.7500 0.7500
```

Values from the calculation:
spin magnetization = 0.47 Bohr magnetons per cell
energy of formation from the pure elements = -0.20 eV/atom
space-group type = F-43m

(18)
OsCl | meta-GGA SCAN | PBEsol geometry

POSCAR file:
```
OsCl
1.0
0.0000 3.1081 3.1081
3.1081 0.0000 3.1081
3.1081 3.1081 0.0000
Os Cl
2 2
direct
0.1250 0.1250 0.1250
0.8750 0.8750 0.8750
0.3750 0.3750 0.3750
0.6250 0.6250 0.6250
```

Values from the calculation:
spin magnetization = 0.00 Bohr magnetons per cell
formation energy (no corrections) = 1.414 eV per atom
space-group type = Fd-3m

(19)
NbAlSeN2 | meta-GGA SCAN | PBEsol geometry

POSCAR file:
```
NbAlSeN2
1.0
3.9725 0.0000 0.0000
0.0000 3.9725 0.0000
0.0000 0.0000 5.3746
Nb Al Se N
1 1 1 2
direct
0.0000 0.0000 0.0000
0.5000 0.5000 0.5000
0.0000 0.0000 0.5000
0.0000 0.5000 0.0000
0.5000 0.0000 0.0000
```

Values from the calculation:
spin magnetization = 0.00 Bohr magnetons per cell
formation energy (no corrections) = 0.190 eV per atom
space-group type = P4/mmm

(20)
Ba2NaLaTi4O12 | meta-GGA SCAN | PBEsol geometry

POSCAR file:
```
Ba2NaLaTi4O12
1.0
-2.7791 2.7791 7.8400
2.7791 -2.7791 7.8400
2.7791 2.7791 -7.8400
Ba Na La Ti O
2 1 1 4 12
direct
0.2475 0.2475 0.0000
0.7525 0.7525 0.0000
0.0000 0.0000 0.0000
0.5000 0.5000 0.0000
0.1216 0.6216 0.5000
0.3784 0.8784 0.5000
0.6216 0.1216 0.5000
0.8784 0.3784 0.5000
0.0000 0.5000 0.5000
0.1372 0.1372 0.5131
0.1372 0.6241 0.0000
0.2500 0.7500 0.5000
0.3759 0.3759 0.5131
0.3759 0.8628 0.0000
0.5000 0.0000 0.5000
0.6241 0.1372 0.0000
0.6241 0.6241 0.4869
0.7500 0.2500 0.5000
0.8628 0.3759 0.0000
0.8628 0.8628 0.4869
```

Values from the calculation:
spin magnetization = 0.00 Bohr magnetons per cell
formation energy (no corrections) = -3.348 eV per atom
space-group type = I4/mmm